No. 1
DFT (PBE) results for Mg3AlPt12 after structural relaxation.

- Magnetization: 0.00 μB/cell
- DFT total energy: -5.691 eV/atom
- Calculated volume: 247 Å³/f.u.
- Mass density: 16.44 g cm⁻³
- Fermi-level density of states: 13.3 states/eV per cell

Cell lengths 3.9547, 3.9547, 15.7671 Å; angles 90.00, 90.00, 90.00 degrees
Last column: nearest neighbours and their distance in Å.
Space group P4/mmm (No. 123)
Unique sites:
Mg 0.0000 0.0000 0.0000 [1 per cell]  12 Pt 2.80
Mg 0.0000 0.0000 0.2515 [2 per cell]  12 Pt 2.80-2.81
Al 0.0000 0.0000 0.5000 [1 per cell]  12 Pt 2.75-2.80
Pt 0.0000 0.5000 0.1258 [4 per cell]  8 Pt 2.80-2.81, 4 Mg 2.80
Pt 0.0000 0.5000 0.3785 [4 per cell]  2 Al 2.75, 8 Pt 2.75-2.81, 2 Mg 2.81
Pt 0.5000 0.5000 0.0000 [1 per cell]  4 Mg 2.80, 8 Pt 2.80
Pt 0.5000 0.5000 0.2520 [2 per cell]  4 Mg 2.80, 8 Pt 2.81
Pt 0.5000 0.5000 0.5000 [1 per cell]  8 Pt 2.75, 4 Al 2.80

No. 2
DFT (PBE) results for PrBeNiN after structural relaxation.

- Magnetization: 0.00 μB/cell
- DFT total energy: -6.483 eV/atom
- Calculated volume: 55 Å³/f.u.
- Formation energy without anion corrections: -0.830 eV/atom
- Mass density: 6.75 g cm⁻³
- Fermi-level density of states: 2.3 states/eV per cell

Cell lengths 3.7082, 3.7082, 7.9659 Å; angles 90.00, 90.00, 90.00 degrees
Last column: nearest neighbours and their distance in Å.
Space group P4/nmm (No. 129, origin choice 2)
Unique sites:
Pr 0.2500 0.2500 0.1650 [2 per cell]  5 N 2.47-2.63
Be 0.2500 0.2500 0.6517 [2 per cell]  1 N 1.62
Ni 0.2500 0.7500 0.5000 [2 per cell]  4 Be 2.21
N 0.2500 0.2500 0.8546 [2 per cell]  1 Be 1.62

No. 3
DFT (PBE) results for GdB2Ru3 after structural relaxation.

- Magnetization: 6.72 μB/cell
- DFT total energy: -9.663 eV/atom
- Calculated volume: 80 Å³/f.u.
- Mass density: 9.95 g cm⁻³
- Fermi-level density of states: 4.5 states/eV per cell

Cell lengths 5.5396, 5.5396, 3.0265 Å; angles 90.00, 90.00, 120.00 degrees
Last column: nearest neighbours and their distance in Å.
Space group P6/mmm (No. 191)
Unique sites:
Gd 0.0000 0.0000 0.0000 [1 per cell]  2 Gd 3.03, 12 Ru 3.16, 6 B 3.20
B 0.3333 0.6667 0.0000 [2 per cell]  6 Ru 2.20
Ru 0.0000 0.5000 0.5000 [3 per cell]  4 B 2.20